DFT (meta-GGA SCAN) results for a crystal of CaAgTe2 relaxed with PBEsol.

Structure (extended XYZ):
```
4
Lattice="-3.697 1.499 1.040 -1.232 -0.071 -4.275 0.153 -6.072 1.125" Properties=species:S:1:pos:R:3 pbc="T T T"
Te -3.036 -1.728 -0.131
Te -4.617 -4.572 -1.650
Ca -1.963 -2.956 -2.716
Ag -2.399 0.683 -1.339
```

## Properties
Raw formation energy ... -0.744 eV per atom
Magnetic moment ... 0.000 μB/f.u.

DFT (meta-GGA SCAN) results for a crystal of BaYRh4 relaxed with PBEsol.

Structure (extended XYZ):
```
6
Lattice="5.378 0.000 0.000 2.689 4.658 0.000 2.689 1.553 4.391" Properties=species:S:1:pos:R:3 pbc="T T T"
Y 8.067 4.658 3.293
Rh 5.378 4.650 1.649
Rh 4.040 2.333 1.649
Rh 6.716 2.333 1.649
Rh 5.378 3.105 3.834
Ba 0.000 0.000 0.000
```

## Properties
Formation energy from the elements ... -37.4 kJ per mole of atoms
Magnetic moment ... 0.000 μB/f.u.

DFT (meta-GGA SCAN) results for a crystal of TcRu relaxed with PBEsol.

Structure (extended XYZ):
```
8
Lattice="-2.170 3.587 -0.857 -3.499 -1.458 2.758 2.333 2.425 4.241" Properties=species:S:1:pos:R:3 pbc="T T T"
Tc 1.206 2.898 3.736
Tc -2.204 2.996 2.100
Tc -4.542 1.655 2.408
Tc -1.133 1.557 4.044
Ru -3.373 2.872 4.538
Ru 0.036 1.681 1.605
Ru -1.043 4.203 4.213
Ru -2.293 0.350 1.930
```

## Properties
Formation energy from the elements ... -7.7 kJ per mole of atoms
Magnetic moment ... 0.000 μB/f.u.

DFT (meta-GGA SCAN) results for a crystal of SrLaTe2 relaxed with PBEsol.

Structure (extended XYZ):
```
4
Lattice="4.709 0.000 0.000 2.355 4.078 0.000 2.355 1.359 9.549" Properties=species:S:1:pos:R:3 pbc="T T T"
Te 2.355 1.359 6.596
Te 7.064 4.078 2.953
La 0.000 0.000 0.000
Sr 4.709 2.719 4.774
```

## Properties
Raw formation energy ... -1.111 eV per atom
Magnetic moment ... 0.677 μB/f.u.

Number 1: DOS at the Fermi energy 0.38 states/eV per atom. Number 2: DOS at the Fermi energy 1.09 states/eV per atom. Number 3: DOS at the Fermi energy 0.79 states/eV per atom. Number 4: DOS at the Fermi energy 0.20 states/eV per atom.